Below is a geometry-optimized Tm3Cu4Si2Ge2 structure, with properties calculated at the PBE level.

Results
distance to the lowest polymorph of the same formula	0.11	eV per formula unit
space group	Immm, No. 71
final energy	-5.022	eV per atom

Lattice parameters (Å, degrees): 7.845 7.845 7.845 149.41 130.66 59.18
Fractional positions:
Cu 0.473 0.165 0.308
Cu 0.143 0.835 0.308
Cu 0.857 0.165 0.692
Cu 0.527 0.835 0.692
Ge 0.283 0.283 0.000
Ge 0.717 0.717 0.000
Si 0.184 0.000 0.184
Si 0.816 0.000 0.816
Tm 0.500 0.500 0.000
Tm 0.872 0.372 0.500
Tm 0.128 0.628 0.500



Below is a geometry-optimized Sm2Y2CI3Cl2 structure, with properties calculated at the PBE level.

Results
distance to the lowest polymorph of the same formula	0.03	eV per formula unit
space group	C2/m, No. 12
final energy	-5.342	eV per atom

Lattice parameters (Å, degrees): 9.448 9.448 8.486 100.48 100.48 24.01
Site moments in Bohr magnetons follow the coordinates.
Fractional positions:
C 0.500 0.500 0.000  0.00
Cl 0.147 0.147 0.307  0.01
Cl 0.853 0.853 0.693  0.01
I 0.827 0.827 0.197  0.00
I 0.500 0.500 0.500  0.00
I 0.173 0.173 0.803  0.00
Sm 0.636 0.636 0.068  0.07
Sm 0.364 0.364 0.932  0.07
Y 0.998 0.998 0.191  0.02
Y 0.002 0.002 0.809  0.02



Below is a geometry-optimized Cs2LiCdF6 structure, with properties calculated at the PBE level.

Results
distance to the lowest polymorph of the same formula	0.32	eV per formula unit
space group	Fm-3m, No. 225
final energy	-3.850	eV per atom

Lattice parameters (Å, degrees): 5.922 5.922 5.922 59.95 59.95 59.95
Fractional positions:
Cd 0.000 0.000 0.000
Cs 0.250 0.250 0.250
Cs 0.750 0.750 0.750
F 0.741 0.260 0.259
F 0.740 0.741 0.259
F 0.259 0.741 0.260
F 0.741 0.259 0.740
F 0.260 0.259 0.741
F 0.259 0.740 0.741
Li 0.500 0.500 0.500